# CrN2F2

An optimized crystal structure of CrN2F2 (GGA+U, Alexandria via LeMat-Bulk).

abc: 3.554 3.554 4.456
angles: 90.00 90.00 90.00
Sites, in units of the cell vectors:
Cr (0.000, 0.000, 0.000)
N (0.000, 0.500, 0.500)
N (0.500, 0.000, 0.500)
F (0.500, 0.500, 0.000)
F (0.500, 0.500, 0.500)

total energy	-21.14	eV/f.u.
volume	56.3	Å³/cell